1.
Here is a relaxed DyY3Co crystal from the Alexandria database. Energies are from GGA-PBE.

a b c (Å): 7.1694 7.1694 7.1567
angles (deg): 109.23 110.65 108.61
Last column: magnetic moment on the atom in μB.
Sites, in units of the cell vectors:
Y: 0.7540 0.5486 0.7076  0.06
Y: 0.8410 0.0464 0.2924  0.06
Y: 0.1590 0.9536 0.7076  0.06
Y: 0.2936 0.5480 0.8415  0.06
Y: 0.2460 0.4514 0.2924  0.06
Y: 0.7064 0.4520 0.1585  0.06
Dy: 0.2944 0.9535 0.2479  0.07
Dy: 0.7056 0.0465 0.7521  0.07
Co: 0.6239 0.7515 0.3754  0.02
Co: 0.3761 0.2485 0.6246  0.02

Summary:
M_tot = 0.5 μB per formula unit
Energy of formation = -0.100 eV per atom
Fermi-level density of states = 10.7 states/eV per cell
E_tot = -63.204 eV/cell
SG = C2/m (12)
ΔE to the lowest computed polymorph = 0.00 eV per formula unit

---

2.
Here is a relaxed DyYCo2 crystal from the Alexandria database. Energies are from GGA-PBE.

a b c (Å): 4.7310 4.7310 4.7310
angles (deg): 60.00 60.00 60.00
Last column: magnetic moment on the atom in μB.
Sites, in units of the cell vectors:
Co: 0.7500 0.7500 0.7500  0.64
Co: 0.2500 0.2500 0.2500  0.64
Y: 0.5000 0.5000 0.5000  -0.17
Dy: 0.0000 0.0000 0.0000  -0.24

Summary:
M_tot = 0.7 μB per formula unit
Energy of formation = -0.131 eV per atom
Fermi-level density of states = 0.9 states/eV per cell
E_tot = -25.804 eV/cell
SG = Fm-3m (225)
ΔE to the lowest computed polymorph = 0.28 eV per formula unit

---

3.
Here is a relaxed DyY2Co9 crystal from the Alexandria database. Energies are from GGA-PBE.

a b c (Å): 4.9826 4.9826 8.6185
angles (deg): 73.20 73.20 60.00
Last column: magnetic moment on the atom in μB.
Sites, in units of the cell vectors:
Co: 0.0788 0.5820 0.7573  1.31
Co: 0.5820 0.5820 0.7573  1.31
Co: 0.5000 0.5000 0.5000  1.22
Co: 0.5820 0.0788 0.7573  1.31
Co: 0.4180 0.9212 0.2427  1.31
Co: 0.4180 0.4180 0.2427  1.31
Co: 0.3347 0.3347 0.9960  1.47
Co: 0.9212 0.4180 0.2427  1.31
Co: 0.6653 0.6653 0.0040  1.47
Y: 0.8603 0.8603 0.4190  -0.29
Y: 0.1397 0.1397 0.5810  -0.29
Dy: 0.0000 0.0000 0.0000  -0.33

Summary:
M_tot = 10.5 μB per formula unit
Energy of formation = -0.167 eV per atom
Fermi-level density of states = 16.2 states/eV per cell
E_tot = -83.488 eV/cell
SG = R-3m (166)

---

4.
Here is a relaxed Dy3Y3Co2 crystal from the Alexandria database. Energies are from GGA-PBE.

a b c (Å): 3.6062 6.8104 18.2927
angles (deg): 90.00 90.00 105.35
Sites, in units of the cell vectors:
Co: 0.7006 0.4012 0.6425
Co: 0.7006 0.4012 0.8575
Co: 0.2994 0.5988 0.3575
Co: 0.2994 0.5988 0.1425
Dy: 0.5569 0.1139 0.7500
Dy: 0.3229 0.6458 0.9347
Dy: 0.6771 0.3542 0.4347
Dy: 0.6771 0.3542 0.0653
Dy: 0.3229 0.6458 0.5653
Dy: 0.4431 0.8861 0.2500
Y: 0.9345 0.8690 0.4128
Y: 0.7193 0.4385 0.2500
Y: 0.0655 0.1310 0.5872
Y: 0.0655 0.1310 0.9128
Y: 0.2807 0.5615 0.7500
Y: 0.9345 0.8690 0.0872

Summary:
M_tot = 0.0 μB per formula unit
Energy of formation = -0.056 eV per atom
Fermi-level density of states = 18.1 states/eV per cell
E_tot = -95.709 eV/cell
SG = Cmcm (63)

---

5.
Here is a relaxed DyYCo crystal from the Alexandria database. Energies are from GGA-PBE.

a b c (Å): 3.4785 5.1876 7.8680
angles (deg): 89.99 102.79 90.00
Sites, in units of the cell vectors:
Dy: 0.7221 0.0254 0.1300
Dy: 0.1381 0.5255 0.9630
Y: 0.8591 0.5254 0.4081
Y: 0.0010 0.0254 0.6849
Co: 0.3576 0.0249 0.4003
Co: 0.5026 0.5260 0.6927

Summary:
M_tot = 0.0 μB per formula unit
Energy of formation = -0.068 eV per atom
Fermi-level density of states = 4.1 states/eV per cell
E_tot = -36.751 eV/cell
SG = P2_1/m (11)
ΔE to the lowest computed polymorph = 0.18 eV per formula unit

---

6.
Here is a relaxed Dy4Y3Co4 crystal from the Alexandria database. Energies are from GGA-PBE.

a b c (Å): 3.6239 8.8023 9.1011
angles (deg): 118.92 101.48 90.00
Last column: magnetic moment on the atom in μB.
Sites, in units of the cell vectors:
Co: 0.7507 0.2507 0.5014  -0.01
Co: 0.5000 0.2135 0.0000  0.38
Co: 0.5000 0.7865 0.0000  0.38
Co: 0.2493 0.7493 0.4986  -0.01
Dy: 0.6654 0.8509 0.3308  -0.03
Dy: 0.3346 0.5201 0.6692  -0.03
Dy: 0.3346 0.1491 0.6692  -0.03
Dy: 0.6654 0.4799 0.3308  -0.03
Y: 0.8959 0.8959 0.7919  -0.04
Y: 0.0000 0.5000 0.0000  -0.06
Y: 0.1041 0.1041 0.2081  -0.04

Summary:
M_tot = 0.3 μB per formula unit
Energy of formation = -0.084 eV per atom
Fermi-level density of states = 9.4 states/eV per cell
E_tot = -67.151 eV/cell
SG = Immm (71)